# 1
Computed, not measured: a relaxed structure of LaSm4Gd at the PBE level of DFT.

Calculated values
E_form: 1.4 eV/f.u.
energy: -6.076 eV/atom

Lattice parameters (Å, degrees): 6.715 6.715 6.715 60.00 60.00 60.00
Positions (direct):
1 Sm 0.625 0.625 0.625
2 Sm 0.625 0.625 0.125
3 Sm 0.125 0.625 0.625
4 Sm 0.625 0.125 0.625
5 La 0.000 0.000 0.000
6 Gd 0.250 0.250 0.250

# 2
Computed, not measured: a relaxed structure of YGa2SeI at the PBE level of DFT.

Calculated values
formation energy without anion corrections: 0.3061 eV/atom
energy: -3.204 eV/atom

Lattice parameters (Å, degrees): 5.090 5.698 5.090 90.00 90.00 90.00
Positions (direct):
1 Y 0.500 0.500 0.500
2 Ga 0.500 0.000 0.000
3 Se 0.000 0.000 0.000
4 I 0.000 0.500 0.000
5 Ga 0.000 0.000 0.500